Entry 1:
SrLa2Au: relaxed, PBE.

Cell: 7.961 7.961 7.961 Å, 90.00 90.00 90.00°
Atoms (fractional coordinates):
Sr: 0.000 0.000 0.000
Sr: 0.000 0.500 0.500
Sr: 0.500 0.000 0.500
Sr: 0.500 0.500 0.000
La: 0.250 0.250 0.250
La: 0.250 0.250 0.750
La: 0.250 0.750 0.250
La: 0.250 0.750 0.750
La: 0.750 0.250 0.250
La: 0.750 0.250 0.750
La: 0.750 0.750 0.250
La: 0.750 0.750 0.750
Au: 0.000 0.000 0.500
Au: 0.000 0.500 0.000
Au: 0.500 0.000 0.000
Au: 0.500 0.500 0.500

Results
- Total magnetic moment: 0.0 μB per formula unit
- Offset from the most stable computed form: 0.315 eV/atom

Entry 2:
SrLa2Au: relaxed, PBE.

Cell: 3.965 5.727 12.142 Å, 90.00 90.00 90.00°
Atoms (fractional coordinates):
Sr: 0.000 0.000 0.000
Sr: 0.500 0.500 0.500
La: 0.000 0.000 0.400
La: 0.000 0.500 0.201
La: 0.500 0.000 0.701
La: 0.500 0.500 0.900
Au: 0.000 0.500 0.709
Au: 0.500 0.000 0.209

Results
- Total magnetic moment: 0.0 μB per formula unit
- Offset from the most stable computed form: 0.100 eV/atom